i | Compound: YRu2Rh2
Source: the Alexandria database
Functional: GGA-PBE
Structure: relaxed

abc: 7.624 7.624 2.832
angles: 90.00 90.00 90.00
Atoms (fractional coordinates):
Ru (0.883, 0.617, 0.000)
Ru (0.117, 0.383, 0.000)
Ru (0.617, 0.117, 0.000)
Ru (0.383, 0.883, 0.000)
Rh (0.679, 0.821, 0.500)
Rh (0.179, 0.679, 0.500)
Rh (0.821, 0.321, 0.500)
Rh (0.321, 0.179, 0.500)
Y (0.000, 0.000, 0.000)
Y (0.500, 0.500, 0.000)

total magnetic moment	0.000	μB/cell
D(E_F)	4.4	states/eV/f.u.

ii | Compound: YRu2Rh2
Source: the Alexandria database
Functional: GGA-PBE
Structure: relaxed

abc: 7.606 7.606 2.844
angles: 90.00 90.00 90.00
Atoms (fractional coordinates):
Rh (0.379, 0.879, 0.000)
Rh (0.879, 0.621, 0.000)
Rh (0.121, 0.379, 0.000)
Rh (0.621, 0.121, 0.000)
Y (0.000, 0.000, 0.000)
Y (0.500, 0.500, 0.000)
Ru (0.175, 0.675, 0.500)
Ru (0.325, 0.175, 0.500)
Ru (0.825, 0.325, 0.500)
Ru (0.675, 0.825, 0.500)

total magnetic moment	0.000	μB/cell
D(E_F)	9.7	states/eV/f.u.

iii | Compound: YRu2Rh2
Source: the Alexandria database
Functional: GGA-PBE
Structure: relaxed

abc: 4.070 4.070 6.129
angles: 70.61 70.61 90.00
Atoms (fractional coordinates):
Rh (0.750, 0.250, 0.500)
Rh (0.250, 0.750, 0.500)
Ru (0.396, 0.396, 0.208)
Ru (0.604, 0.604, 0.792)
Y (0.000, 0.000, 0.000)

total magnetic moment	0.000	μB/cell
D(E_F)	4.6	states/eV/f.u.

Last place for stability: ii

i | Compound: YRu3Rh
Source: the Alexandria database
Functional: GGA-PBE
Structure: relaxed

abc: 4.694 4.694 4.694
angles: 90.00 90.00 90.00
Atoms (fractional coordinates):
Ru (0.000, 0.000, 0.500)
Ru (0.000, 0.500, 0.000)
Ru (0.500, 0.000, 0.000)
Rh (0.000, 0.000, 0.000)
Y (0.500, 0.500, 0.500)

total magnetic moment	1.363	μB/cell
D(E_F)	8.1	states/eV/f.u.

ii | Compound: YRu3Rh
Source: the Alexandria database
Functional: GGA-PBE
Structure: relaxed

abc: 4.786 4.786 4.786
angles: 90.00 90.00 90.00
Atoms (fractional coordinates):
Ru (0.000, 0.000, 0.500)
Ru (0.000, 0.500, 0.000)
Ru (0.500, 0.000, 0.000)
Rh (0.500, 0.500, 0.500)
Y (0.000, 0.000, 0.000)

total magnetic moment	5.610	μB/cell
D(E_F)	6.7	states/eV/f.u.

Last place for stability: ii